No. 1
An optimized crystal structure of K2Ba5Si12O30. Source: Alexandria, functional PBE.

Geometry as CIF:
```
data_K2Ba5Si12O30
_cell_length_a 24.1706
_cell_length_b 7.8429
_cell_length_c 8.3795
_cell_angle_alpha 90.00
_cell_angle_beta 91.90
_cell_angle_gamma 90.00
_space_group_name_H-M_alt 'C 1 2/m 1'
_space_group_IT_number 12
loop_
_space_group_symop_operation_xyz
'x,y,z'
'-x,-y,-z'
'-x,y,-z'
'x,-y,z'
'x+1/2,y+1/2,z'
'-x+1/2,-y+1/2,-z'
'-x+1/2,y+1/2,-z'
'x+1/2,-y+1/2,z'
loop_
_atom_site_label
_atom_site_type_symbol
_atom_site_fract_x
_atom_site_fract_y
_atom_site_fract_z
K1 K 0.0539 0.0000 0.2525
Ba1 Ba 0.0000 0.5000 0.5000
Ba2 Ba 0.1478 0.5000 0.2395
Ba3 Ba 0.1964 0.0000 0.9946
Si1 Si 0.0605 0.2961 0.9470
Si2 Si 0.1007 0.2018 0.6122
Si3 Si 0.2268 0.2922 0.6763
O1 O 0.0000 0.2171 0.0000
O2 O 0.0594 0.2861 0.7484
O3 O 0.0600 0.5000 0.9964
O4 O 0.0821 0.0000 0.6014
O5 O 0.0889 0.2958 0.4456
O6 O 0.1110 0.2089 0.0412
O7 O 0.1644 0.2071 0.6873
O8 O 0.2195 0.5000 0.6923
O9 O 0.2339 0.2829 0.1837
O10 O 0.2500 0.2500 0.5000
```

Results
Its uncorrected formation energy is -2.852 eV per atom.



No. 2
An optimized crystal structure of AgAs2Se2Br2. Source: Alexandria, functional PBE.

Geometry as CIF:
```
data_AgAs2Se2Br2
_cell_length_a 3.7626
_cell_length_b 6.2435
_cell_length_c 8.5000
_cell_angle_alpha 86.83
_cell_angle_beta 77.33
_cell_angle_gamma 72.52
_space_group_name_H-M_alt 'P -1'
_space_group_IT_number 2
loop_
_space_group_symop_operation_xyz
'x,y,z'
'-x,-y,-z'
loop_
_atom_site_label
_atom_site_type_symbol
_atom_site_fract_x
_atom_site_fract_y
_atom_site_fract_z
Ag1 Ag 0.0000 0.0000 0.0000
As1 As 0.3532 0.7353 0.5580
Se1 Se 0.0851 0.1930 0.6391
Br1 Br 0.2884 0.2688 0.1527
```

Results
Its uncorrected formation energy is -0.182 eV per atom.



No. 3
An optimized crystal structure of CaMg2In8. Source: Alexandria, functional PBE.

Geometry as CIF:
```
data_CaMg2In8
_cell_length_a 16.9610
_cell_length_b 4.6656
_cell_length_c 7.5018
_cell_angle_alpha 90.00
_cell_angle_beta 107.75
_cell_angle_gamma 90.00
_space_group_name_H-M_alt 'C 1 2/m 1'
_space_group_IT_number 12
loop_
_space_group_symop_operation_xyz
'x,y,z'
'-x,-y,-z'
'-x,y,-z'
'x,-y,z'
'x+1/2,y+1/2,z'
'-x+1/2,-y+1/2,-z'
'-x+1/2,y+1/2,-z'
'x+1/2,-y+1/2,z'
loop_
_atom_site_label
_atom_site_type_symbol
_atom_site_fract_x
_atom_site_fract_y
_atom_site_fract_z
Ca1 Ca 0.0000 0.0000 0.0000
Mg1 Mg 0.2295 0.5000 0.6411
In1 In 0.0502 0.5000 0.7257
In2 In 0.0977 0.0000 0.4680
In3 In 0.1436 0.5000 0.1980
In4 In 0.1850 0.0000 0.9155
```

Results
The formation enthalpy at 0 K is -0.134 eV per atom.



No. 4
An optimized crystal structure of La6Dy5Tl. Source: Alexandria, functional PBE.

Geometry as CIF:
```
data_La6Dy5Tl
_cell_length_a 5.1507
_cell_length_b 10.0342
_cell_length_c 15.5689
_cell_angle_alpha 90.00
_cell_angle_beta 90.00
_cell_angle_gamma 90.00
_space_group_name_H-M_alt 'I m m m'
_space_group_IT_number 71
_space_group_name_Hall '-I 2 2'
loop_
_atom_site_label
_atom_site_type_symbol
_atom_site_fract_x
_atom_site_fract_y
_atom_site_fract_z
La1 La 0.0000 0.2440 0.0000
La2 La 0.0000 0.2541 0.3330
Dy1 Dy 0.0000 0.0000 0.1706
Dy2 Dy 0.0000 0.0000 0.5000
Dy3 Dy 0.0000 0.5000 0.1640
Tl1 Tl 0.0000 0.5000 0.5000
```

Results
The formation enthalpy at 0 K is -0.034 eV per atom.



Computed values of Fermi-level density of states (unit: states/eV per cell) for the preceding records, in sequence: 0.00; 0.91; 7.53; 34.37.
Computed values of E (unit: eV per cell) for the preceding records, in sequence: -730.80; -23.74; -57.15; -110.70.